No. 1
This record from the Alexandria database describes a relaxed structure of Zn5FeCu4. The functional is GGA-PBE.

The spin magnetization comes out at 0.21 μB per atom. The calculated formation energy is -67 meV/atom.

The space group is P4/mmm (No. 123) and the conventional cell measures 2.698, 2.698 and 17.794 Å, with angles of 90.00, 90.00 and 90.00 degrees. The asymmetric unit holds Zn at (0.000, 0.000, 0.000), Zn at (0.000, 0.000, 0.200), Zn at (0.000, 0.000, 0.400), Fe at (0.500, 0.500, 0.500), Cu at (0.500, 0.500, 0.100) and Cu at (0.500, 0.500, 0.300).


No. 2
This record from the Alexandria database describes a relaxed structure of Zn8FeCu2. The functional is GGA-PBE.

The spin magnetization comes out at 0.17 μB per atom. The calculated formation energy is -20 meV/atom.

The space group is C2/m (No. 12) and the conventional cell measures 13.706, 3.789 and 6.032 Å, with angles of 90.00, 106.59 and 90.00 degrees. The asymmetric unit holds Zn at (0.046, 0.000, 0.237), Zn at (0.095, 0.500, 0.957), Zn at (0.137, 0.000, 0.687), Zn at (0.180, 0.500, 0.411), Fe at (0.000, 0.500, 0.500) and Cu at (0.230, 0.000, 0.141).


No. 3
This record from the Alexandria database describes a relaxed structure of ZnFe2Cu. The functional is GGA-PBE.

The spin magnetization comes out at 1.19 μB per atom. The calculated formation energy is 83 meV/atom.

The space group is Cm (No. 8) and the conventional cell measures 8.430, 2.538 and 4.627 Å, with angles of 90.00, 97.88 and 90.00 degrees. The asymmetric unit holds Zn at (0.000, 0.000, 0.000), Fe at (0.004, 0.500, 0.497), Fe at (0.251, 0.500, 0.261) and Cu at (0.250, 0.000, 0.753).


Among the records above, which one has the lowest calculated formation energy?
Zn5FeCu4


Among the records above, which one has the highest spin magnetization?
ZnFe2Cu


What is the spin magnetization in the third record?
1.19 μB per atom